Entry 1:
Here is an optimized crystal structure of TiNbRh6 from Alexandria. Energies are from PBE.

**DFT formation energy**: -0.55 eV per atom
**Total magnetization**: 0.00 μB per formula unit
**DOS at the Fermi energy**: 1.194 states/eV/atom
**Symmetry**: P-6m2 (187)

a = 5.534 Å, b = 5.534 Å, c = 4.419 Å
α = 90.00°, β = 90.00°, γ = 120.00°
Fractional positions:
Ti  0.000  0.000  0.000
Nb  0.667  0.333  0.500
Rh  0.004  0.502  0.000
Rh  0.167  0.334  0.500
Rh  0.167  0.833  0.500
Rh  0.498  0.502  0.000
Rh  0.498  0.996  0.000
Rh  0.666  0.833  0.500


Entry 2:
Here is an optimized crystal structure of TlCoAg2Cl6 from Alexandria. Energies are from PBE.

**Formation energy without anion corrections**: -591 meV per atom
**Total magnetization**: 4.06 μB per formula unit
**DOS at the Fermi energy**: 0.622 states/eV/atom
**Symmetry**: C2/c (15)

a = 9.024 Å, b = 9.024 Å, c = 8.171 Å
α = 109.40°, β = 109.40°, γ = 83.93°
Fractional positions:
Tl  0.178  0.822  0.750
Tl  0.822  0.178  0.250
Co  0.178  0.822  0.250
Co  0.822  0.178  0.750
Ag  0.322  0.366  0.811
Ag  0.366  0.322  0.311
Ag  0.634  0.678  0.689
Ag  0.678  0.634  0.189
Cl  0.036  0.181  0.680
Cl  0.171  0.618  0.010
Cl  0.181  0.036  0.180
Cl  0.240  0.457  0.543
Cl  0.382  0.829  0.490
Cl  0.457  0.240  0.043
Cl  0.543  0.760  0.957
Cl  0.618  0.171  0.510
Cl  0.760  0.543  0.457
Cl  0.819  0.964  0.820
Cl  0.829  0.382  0.990
Cl  0.964  0.819  0.320


Entry 3:
Here is an optimized crystal structure of HgIrRu from Alexandria. Energies are from PBE.

**DFT formation energy**: 0.56 eV per atom
**Total magnetization**: 0.85 μB per formula unit
**DOS at the Fermi energy**: 1.112 states/eV/atom
**Symmetry**: Fmm2 (42)
**Energy above the lowest structure with this stoichiometry**: 266 meV per atom

a = 7.699 Å, b = 7.431 Å, c = 2.826 Å
α = 84.63°, β = 73.93°, γ = 21.44°
Fractional positions:
Hg  0.000  0.000  0.000
Ir  0.324  0.324  0.676
Ru  0.674  0.674  0.326


Which of these has the highest total magnetization? TlCoAg2Cl6